A geometry-optimized Hf6N2O structure. Source: the Alexandria database, functional PBE.

Cell lengths 5.6147, 5.9499, 10.1516 Å; angles 90.00, 119.69, 90.00 degrees
Last column: nearest neighbours and their distance in Å.
Space group P2_1/c (No. 14)
One atom of each set of equivalent atoms:
Hf 0.0752 0.0451 0.2490  2 N 2.21-2.25
Hf 0.2283 0.6794 0.0688  2 N 2.15-2.21, 1 O 2.24
Hf 0.4065 0.1881 0.0854  1 N 2.18, 1 O 2.22
N 0.1355 0.1379 0.6481  5 Hf 2.15-2.25
O 0.5000 0.0000 0.5000  4 Hf 2.22-2.24

Values from the calculation:
The density of states at the Fermi level comes out at 0.67 states/eV per atom. The value obtained for the raw formation energy is -1.136 eV/atom.

A geometry-optimized Hf5N5O2 structure. Source: the Alexandria database, functional PBE.

Cell lengths 10.3470, 3.0778, 9.1765 Å; angles 90.00, 105.98, 90.00 degrees
Last column: nearest neighbours and their distance in Å.
Space group Cm (No. 8)
One atom of each set of equivalent atoms:
Hf 0.0000 0.0000 0.0000  5 N 2.17-2.21, 1 O 2.18
Hf 0.0827 0.5000 0.3797  4 N 2.15-2.32, 2 O 2.36
Hf 0.1906 0.0000 0.7835  2 O 2.19, 4 N 2.29
Hf 0.2785 0.5000 0.1616  6 N 2.11-2.29
Hf 0.3994 0.5000 0.5748  3 N 2.06-2.16, 3 O 2.18-2.24
N 0.0515 0.5000 0.6346  4 Hf 2.16-2.29
N 0.1218 0.5000 0.9305  5 Hf 2.19-2.29
N 0.1486 0.0000 0.2247  5 Hf 2.21-2.32
N 0.3792 0.0000 0.0658  4 Hf 2.17
N 0.4349 0.5000 0.3650  4 Hf 2.06-2.15
O 0.2365 0.0000 0.5287  4 Hf 2.24-2.36
O 0.3422 0.5000 0.7865  4 Hf 2.18-2.19

Values from the calculation:
The density of states at the Fermi level comes out at 0.09 states/eV per atom. The value obtained for the raw formation energy is -2.100 eV/atom.

A geometry-optimized Hf2N2O structure. Source: the Alexandria database, functional PBE.

Cell lengths 6.2019, 6.2019, 2.8212 Å; angles 90.00, 90.00, 90.00 degrees
Last column: nearest neighbours and their distance in Å.
Space group P4/mbm (No. 127)
One atom of each set of equivalent atoms:
Hf 0.1735 0.3265 0.0000  6 N 2.22-2.37
N 0.1318 0.6318 0.5000  6 Hf 2.22-2.37, 1 N 2.31, 2 O 2.43
O 0.0000 0.0000 0.5000  4 N 2.43, 8 Hf 2.69

Values from the calculation:
The density of states at the Fermi level comes out at 0.34 states/eV per atom. The value obtained for the raw formation energy is -1.123 eV/atom.

A geometry-optimized Hf2N2O structure. Source: the Alexandria database, functional PBE.

Cell lengths 8.4835, 3.0965, 8.4315 Å; angles 90.00, 90.00, 90.00 degrees
Last column: nearest neighbours and their distance in Å.
Space group Pnma (No. 62)
One atom of each set of equivalent atoms:
Hf 0.0043 0.2500 0.1785  5 N 2.16-2.25, 2 O 2.24-2.30
Hf 0.1813 0.2500 0.5012  5 N 2.23-2.31, 2 O 2.24
N 0.0478 0.7500 0.3664  5 Hf 2.23-2.25
N 0.1245 0.2500 0.9442  5 Hf 2.16-2.31
O 0.2245 0.7500 0.6885  4 Hf 2.24-2.30, 1 N 2.43

Values from the calculation:
The density of states at the Fermi level comes out at 0.01 states/eV per atom. The value obtained for the raw formation energy is -2.148 eV/atom.

A geometry-optimized Hf2N2O structure. Source: the Alexandria database, functional PBE.

Cell lengths 6.4290, 6.4290, 15.7285 Å; angles 90.00, 90.00, 120.00 degrees
Last column: nearest neighbours and their distance in Å.
Space group P-3m1 (No. 164)
One atom of each set of equivalent atoms:
Hf 0.0000 0.0000 0.0000  6 N 2.21
Hf 0.0000 0.0000 0.3722  4 N 2.07-2.10
Hf 0.0000 0.5000 0.5000  2 O 2.08, 4 N 2.22
Hf 0.1673 0.3346 0.8347  2 O 2.10, 4 N 2.18-2.22
Hf 0.3333 0.6667 0.0447  4 N 2.07-2.09
Hf 0.3333 0.6667 0.6685  3 O 2.11, 3 N 2.20
N 0.0000 0.0000 0.2403  4 Hf 2.07-2.21
N 0.1558 0.3115 0.0868  4 Hf 2.09-2.21
N 0.1772 0.3545 0.5831  4 Hf 2.10-2.22
N 0.3333 0.6667 0.9132  4 Hf 2.07-2.22
O 0.0534 0.5267 0.7588  3 Hf 2.10-2.11
O 0.3333 0.6667 0.4397  3 Hf 2.08

Values from the calculation:
The value obtained for the raw formation energy is -2.168 eV/atom.

A geometry-optimized Hf2N2O structure. Source: the Alexandria database, functional PBE.

Cell lengths 5.8395, 6.6694, 6.0462 Å; angles 90.00, 91.95, 90.00 degrees
Last column: nearest neighbours and their distance in Å.
Space group P2_1/c (No. 14)
One atom of each set of equivalent atoms:
Hf 0.2298 0.1305 0.3903  3 N 2.04-2.26, 1 O 2.10
Hf 0.2556 0.6217 0.4175  2 N 2.09-2.20, 2 O 2.09-2.10
N 0.0101 0.6269 0.7367  5 Hf 2.26-2.44
N 0.3688 0.1357 0.0848  4 Hf 2.04-2.20
O 0.3440 0.6133 0.0837  3 Hf 2.09-2.10

Values from the calculation:
The density of states at the Fermi level comes out at 0.00 states/eV per atom. The value obtained for the raw formation energy is -2.161 eV/atom.

A geometry-optimized HfN3O structure. Source: the Alexandria database, functional PBE.

Cell lengths 4.2095, 4.2095, 4.2095 Å; angles 90.00, 90.00, 90.00 degrees
Last column: nearest neighbours and their distance in Å.
Space group Pm-3m (No. 221)
One atom of each set of equivalent atoms:
Hf 0.0000 0.0000 0.0000  6 N 2.10
N 0.0000 0.0000 0.5000  2 Hf 2.10
O 0.5000 0.5000 0.5000  12 N 2.98

Values from the calculation:
The density of states at the Fermi level comes out at 0.72 states/eV per atom. The value obtained for the raw formation energy is 1.532 eV/atom.

A geometry-optimized Hf2N2O structure. Source: the Alexandria database, functional PBE.

Cell lengths 13.6905, 3.2622, 8.1757 Å; angles 90.00, 100.40, 90.00 degrees
Last column: nearest neighbours and their distance in Å.
Space group C2/m (No. 12)
One atom of each set of equivalent atoms:
Hf 0.0309 0.0000 0.3082  4 N 2.06-2.15
Hf 0.1297 0.5000 0.9745  4 N 2.13-2.33, 2 O 2.19
Hf 0.1952 0.5000 0.6314  3 N 2.11, 1 O 2.22
N 0.0361 0.5000 0.1566  3 Hf 2.06-2.13
N 0.1259 0.0000 0.7858  5 Hf 2.15-2.36
N 0.1720 0.0000 0.4644  4 Hf 2.11
O 0.0000 0.5000 0.5000  4 Hf 2.35
O 0.2107 0.0000 0.1178  4 Hf 2.19-2.44

Values from the calculation:
The density of states at the Fermi level comes out at 0.00 states/eV per atom. The value obtained for the raw formation energy is -2.183 eV/atom.

A geometry-optimized Hf2N2O structure. Source: the Alexandria database, functional PBE.

Cell lengths 9.3783, 5.5301, 5.8553 Å; angles 90.00, 123.32, 90.00 degrees
Last column: nearest neighbours and their distance in Å.
Space group Cc (No. 9)
One atom of each set of equivalent atoms:
Hf 0.0000 0.2313 0.0000  4 N 2.03-2.22, 1 O 2.16
Hf 0.2073 0.2610 0.6423  2 O 2.07-2.26, 3 N 2.09-2.20
N 0.0917 0.0463 0.8073  3 Hf 2.03-2.16
N 0.2427 0.4001 0.3251  4 Hf 2.09-2.22
O 0.4435 0.0951 0.8369  3 Hf 2.07-2.26

Values from the calculation:
The density of states at the Fermi level comes out at 0.00 states/eV per atom. The value obtained for the raw formation energy is -2.183 eV/atom.

A geometry-optimized Hf2N2O structure. Source: the Alexandria database, functional PBE.

Cell lengths 8.0959, 3.2781, 13.8590 Å; angles 90.00, 99.20, 90.00 degrees
Last column: nearest neighbours and their distance in Å.
Space group Pm (No. 6)
One atom of each set of equivalent atoms:
Hf 0.0000 0.0000 0.0000  6 N 2.11-2.32
Hf 0.0008 0.0000 0.7115  2 N 2.07-2.12, 4 O 2.17-2.27
Hf 0.0375 0.0000 0.2824  2 O 2.13, 2 N 2.14-2.16
Hf 0.2968 0.5000 0.1463  3 N 2.06-2.16, 2 O 2.23-2.29
Hf 0.3531 0.5000 0.4346  2 O 2.10-2.15, 4 N 2.13-2.28
Hf 0.3593 0.0000 0.9336  5 N 2.07-2.31, 1 O 2.20
Hf 0.3730 0.5000 0.7351  5 N 2.15-2.38, 2 O 2.20-2.30
Hf 0.6341 0.0000 0.5989  3 N 2.11-2.34, 2 O 2.13
Hf 0.6793 0.0000 0.3253  4 N 2.11-2.33, 2 O 2.17
Hf 0.6849 0.5000 0.1056  3 N 2.03-2.11
Hf 0.7322 0.5000 0.8383  6 N 2.16-2.39, 1 O 2.25
Hf 0.9922 0.5000 0.4970  5 N 2.11-2.30, 1 O 2.18
N 0.1443 0.0000 0.1505  4 Hf 2.06-2.22
N 0.1648 0.0000 0.4519  5 Hf 2.28-2.41
N 0.2004 0.5000 0.9916  5 Hf 2.16-2.32
N 0.2421 0.0000 0.7892  4 Hf 2.07-2.15
N 0.5046 0.5000 0.9012  3 Hf 2.11-2.16
N 0.5210 0.0000 0.4326  4 Hf 2.11-2.34
N 0.5652 0.0000 0.7421  5 Hf 2.14-2.39
N 0.8011 0.0000 0.1843  4 Hf 2.11-2.33
N 0.8355 0.5000 0.0013  3 Hf 2.03-2.11
N 0.8614 0.0000 0.5432  3 Hf 2.11
N 0.8696 0.5000 0.3492  3 Hf 2.13-2.24
N 0.9076 0.0000 0.8463  4 Hf 2.12-2.16
O 0.1213 0.5000 0.6475  4 Hf 2.17-2.20
O 0.2076 0.5000 0.2951  4 Hf 2.10-2.29
O 0.4632 0.5000 0.5861  4 Hf 2.13-2.30
O 0.4809 0.0000 0.0874  5 Hf 2.20-2.44
O 0.5382 0.5000 0.2493  3 Hf 2.17-2.23
O 0.8048 0.5000 0.6879  5 Hf 2.25-2.36

Values from the calculation:
The value obtained for the raw formation energy is -2.170 eV/atom.

A geometry-optimized Hf2N2O structure. Source: the Alexandria database, functional PBE.

Cell lengths 4.1125, 4.1125, 7.7778 Å; angles 90.00, 90.00, 90.00 degrees
Last column: nearest neighbours and their distance in Å.
Space group I4/mmm (No. 139)
One atom of each set of equivalent atoms:
Hf 0.0000 0.5000 0.2500  4 N 2.14
N 0.0000 0.0000 0.1740  4 Hf 2.14
O 0.0000 0.0000 0.5000  2 N 2.54, 8 Hf 2.83

Values from the calculation:
The density of states at the Fermi level comes out at 0.30 states/eV per atom. The value obtained for the raw formation energy is -1.168 eV/atom.

A geometry-optimized Hf2N2O structure. Source: the Alexandria database, functional PBE.

Cell lengths 5.4056, 6.4621, 7.0021 Å; angles 76.74, 89.68, 89.96 degrees
Last column: nearest neighbours and their distance in Å.
Space group P1 (No. 1)
One atom of each set of equivalent atoms:
Hf 0.0000 0.0000 0.0000  4 N 2.12-2.20, 2 O 2.14-2.16
Hf 0.0043 0.4971 0.0037  4 N 2.13-2.20, 2 O 2.14-2.15
Hf 0.4310 0.3140 0.7424  5 N 2.15-2.36, 1 O 2.16
Hf 0.4486 0.8137 0.7379  5 N 2.09-2.26, 1 O 2.29
Hf 0.5101 0.1766 0.2903  4 N 2.14-2.19, 2 O 2.15-2.16
Hf 0.5450 0.6844 0.2639  3 N 2.11-2.22, 3 O 2.18-2.30
Hf 0.9357 0.3628 0.5470  5 N 2.13-2.31, 1 O 2.16
Hf 0.9462 0.8626 0.5460  1 O 2.13, 5 N 2.15-2.27
N 0.1608 0.0714 0.7034  5 Hf 2.20-2.30
N 0.1619 0.5746 0.7075  5 Hf 2.19-2.31
N 0.2764 0.2396 0.0329  4 Hf 2.15-2.20
N 0.6592 0.1004 0.5881  5 Hf 2.19-2.29
N 0.6648 0.6082 0.5743  5 Hf 2.20-2.36
N 0.7580 0.7663 0.9216  3 Hf 2.09-2.16
N 0.7801 0.4240 0.2613  4 Hf 2.11-2.14
N 0.7830 0.9442 0.2597  4 Hf 2.11-2.15
O 0.2597 0.7402 0.0401  4 Hf 2.15-2.29
O 0.2886 0.4052 0.3983  3 Hf 2.16-2.30
O 0.2929 0.8935 0.3946  3 Hf 2.13-2.25
O 0.7874 0.2802 0.8851  3 Hf 2.14-2.16

Values from the calculation:
The value obtained for the raw formation energy is -2.184 eV/atom.

A geometry-optimized Hf2N2O structure. Source: the Alexandria database, functional PBE.

Cell lengths 8.7170, 8.7322, 8.7331 Å; angles 109.61, 109.24, 109.44 degrees
Last column: nearest neighbours and their distance in Å.
Space group P1 (No. 1)
One atom of each set of equivalent atoms:
Hf 0.0000 0.0000 0.0000  3 N 2.11-2.22, 3 O 2.13-2.19
Hf 0.0051 0.4939 0.5105  4 N 2.09-2.22, 2 O 2.20-2.26
Hf 0.0316 0.2076 0.7535  5 N 2.14-2.25, 1 O 2.21
Hf 0.2182 0.6688 0.9654  5 N 2.12-2.23, 1 O 2.24
Hf 0.2414 0.4632 0.2093  4 N 2.09-2.18, 2 O 2.21-2.28
Hf 0.2602 0.9611 0.7272  4 N 2.11-2.18, 2 O 2.23-2.24
Hf 0.2838 0.2447 0.4658  2 O 2.11-2.25, 4 N 2.13-2.27
Hf 0.4538 0.6993 0.6744  4 N 2.12-2.24, 2 O 2.20-2.23
Hf 0.4990 0.9300 0.4277  5 N 2.10-2.24, 1 O 2.32
Hf 0.5028 0.4323 0.9367  4 N 2.08-2.17, 2 O 2.29-2.31
Hf 0.5372 0.2060 0.2454  4 N 2.12-2.24, 2 O 2.15-2.20
Hf 0.7093 0.1694 0.9551  3 N 2.08-2.20, 3 O 2.12-2.21
Hf 0.7389 0.4496 0.6959  4 N 2.09-2.18, 2 O 2.26-2.27
Hf 0.7485 0.9500 0.2252  4 N 2.07-2.21, 2 O 2.26-2.30
Hf 0.7896 0.7452 0.4692  4 N 2.12-2.22, 2 O 2.13-2.20
Hf 0.9696 0.7177 0.1818  3 N 2.09-2.18, 3 O 2.14-2.22
N 0.0148 0.9442 0.7523  4 Hf 2.11-2.25
N 0.0249 0.9927 0.2581  4 Hf 2.09-2.22
N 0.2041 0.4455 0.4386  4 Hf 2.14-2.18
N 0.2144 0.6967 0.2269  4 Hf 2.09-2.23
N 0.2585 0.7307 0.7569  4 Hf 2.11-2.16
N 0.2959 0.4681 0.9867  4 Hf 2.08-2.22
N 0.4796 0.2008 0.9873  4 Hf 2.12-2.20
N 0.4798 0.9246 0.1640  4 Hf 2.14-2.24
N 0.4933 0.9692 0.6823  4 Hf 2.08-2.24
N 0.5070 0.1863 0.4841  4 Hf 2.09-2.24
N 0.5268 0.5092 0.7335  4 Hf 2.12-2.27
N 0.7107 0.6846 0.1840  4 Hf 2.09-2.18
N 0.7397 0.4915 0.4725  4 Hf 2.10-2.22
N 0.7826 0.0021 0.4876  4 Hf 2.07-2.22
N 0.9750 0.4120 0.7026  4 Hf 2.09-2.23
N 0.9781 0.2314 0.9806  4 Hf 2.13-2.15
O 0.0261 0.7255 0.4427  4 Hf 2.14-2.26
O 0.2355 0.1819 0.6644  4 Hf 2.11-2.31
O 0.2848 0.2180 0.2003  4 Hf 2.15-2.28
O 0.5230 0.6809 0.4503  4 Hf 2.13-2.32
O 0.7188 0.9164 0.9429  4 Hf 2.13-2.30
O 0.7674 0.4239 0.9528  4 Hf 2.12-2.29
O 0.7964 0.2291 0.2458  4 Hf 2.20-2.26
O 0.9831 0.7284 0.9424  4 Hf 2.16-2.26

Values from the calculation:
The density of states at the Fermi level comes out at 0.00 states/eV per atom. The value obtained for the raw formation energy is -2.253 eV/atom.

A geometry-optimized Hf5N5O2 structure. Source: the Alexandria database, functional PBE.

Cell lengths 10.4046, 3.0735, 9.1207 Å; angles 90.00, 105.50, 90.00 degrees
Last column: nearest neighbours and their distance in Å.
Space group C2/m (No. 12)
One atom of each set of equivalent atoms:
Hf 0.0000 0.0000 0.0000  2 O 2.12, 4 N 2.20
Hf 0.1129 0.0000 0.4233  5 N 2.16-2.21, 1 O 2.17
Hf 0.2033 0.5000 0.8100  2 O 2.22, 5 N 2.25-2.39
N 0.0000 0.5000 0.5000  4 Hf 2.16
N 0.1567 0.5000 0.0530  5 Hf 2.20-2.39
N 0.2368 0.5000 0.3529  5 Hf 2.21-2.33
O 0.0454 0.0000 0.7873  4 Hf 2.12-2.22

Values from the calculation:
The density of states at the Fermi level comes out at 0.09 states/eV per atom. The value obtained for the raw formation energy is -2.119 eV/atom.

A geometry-optimized HfN3O structure. Source: the Alexandria database, functional PBE.

Cell lengths 3.5070, 3.5070, 3.5070 Å; angles 90.00, 90.00, 90.00 degrees
Last column: nearest neighbours and their distance in Å.
Space group Pm-3m (No. 221)
One atom of each set of equivalent atoms:
Hf 0.0000 0.0000 0.0000  12 N 2.48
N 0.0000 0.5000 0.5000  2 O 1.75
O 0.5000 0.5000 0.5000  6 N 1.75

Values from the calculation:
The density of states at the Fermi level comes out at 0.32 states/eV per atom. The value obtained for the raw formation energy is 1.139 eV/atom.

A geometry-optimized Hf2N2O structure. Source: the Alexandria database, functional PBE.

Cell lengths 4.2723, 3.4405, 8.6887 Å; angles 90.00, 100.50, 90.00 degrees
Last column: nearest neighbours and their distance in Å.
Space group P2_1/m (No. 11)
One atom of each set of equivalent atoms:
Hf 0.1208 0.2500 0.1711  3 O 2.00-2.20, 1 N 2.17
Hf 0.2899 0.2500 0.6064  4 N 2.11-2.14
N 0.2152 0.7500 0.4039  2 Hf 2.13-2.14
N 0.3326 0.7500 0.7492  4 Hf 2.11-2.31
O 0.1839 0.7500 0.0627  3 Hf 2.00-2.20

Values from the calculation:
The density of states at the Fermi level comes out at 0.00 states/eV per atom. The value obtained for the raw formation energy is -2.161 eV/atom.

A geometry-optimized Hf12N6O structure. Source: the Alexandria database, functional PBE.

Cell lengths 10.3453, 10.3453, 9.2154 Å; angles 90.00, 90.00, 120.00 degrees
Last column: nearest neighbours and their distance in Å.
Space group R-3 (No. 148, hexagonal axes)
One atom of each set of equivalent atoms:
Hf 0.0038 0.1804 0.3659  1 O 2.22, 2 N 2.30-2.47
Hf 0.0041 0.8002 0.1213  4 N 2.23-2.30
N 0.9999 0.2329 0.1240  6 Hf 2.23-2.47
O 0.0000 0.0000 0.5000  6 Hf 2.22

Values from the calculation:
The density of states at the Fermi level comes out at 0.50 states/eV per atom. The value obtained for the raw formation energy is -1.006 eV/atom.